No. 1
Density functional theory data (PBE) for a relaxed structure of Mo2OsCl.

Values from the calculation:
ΔE_f (raw) ... 1.85 eV per formula unit
Relative energy among the computed polymorphs ... 0.218 eV/atom
D(E_F) ... 0.753 states/eV per atom

a b c (Å): 4.0661 4.0661 8.0180
angles (deg): 115.81 115.81 41.06
Element x y z (fractional)
Mo1 0.1355 0.1355 0.3079
Mo2 0.8645 0.8645 0.6921
Os1 0.5000 0.5000 0.5000
Cl1 0.5000 0.5000 0.0000



No. 2
Density functional theory data (PBE) for a relaxed structure of MoOsCl2.

Values from the calculation:
ΔE_f (raw) ... 1.91 eV per formula unit
Relative energy among the computed polymorphs ... 0.581 eV/atom
D(E_F) ... 0.915 states/eV per atom

a b c (Å): 7.6189 7.6189 7.6189
angles (deg): 157.98 145.39 41.41
Element x y z (fractional)
Mo1 0.0000 0.0000 0.0000
Os1 0.5000 0.5000 0.0000
Cl1 0.1420 0.6420 0.5000
Cl2 0.8580 0.3580 0.5000